Record 1
Here is a relaxed NbSb3H crystal from Alexandria via LeMat-Bulk. Energies are from PBE-GGA.

POSCAR file:
```
NbSb3H
1.0
4.655 0.000 0.000
0.000 4.655 0.000
0.000 0.000 4.655
Sb Nb H
3 1 1
Direct
0.000 0.500 0.000
0.000 0.000 0.500
0.500 0.000 0.000
0.500 0.500 0.500
0.000 0.000 0.000
```

Properties
- Total magnetization: 2.06 μB/cell
- Energy relative to the lowest polymorph listed for this composition: 0.0 meV/atom

---

Record 2
Here is a relaxed Nb2SbH2 crystal from Alexandria via LeMat-Bulk. Energies are from PBE-GGA.

POSCAR file:
```
Nb2SbH2
1.0
-3.361 0.047 0.329
-0.321 -1.325 -3.090
-1.701 -5.729 0.786
Sb Nb H
1 2 2
Direct
0.000 0.000 0.000
0.350 0.350 0.299
0.650 0.650 0.701
0.750 0.250 0.500
0.250 0.750 0.500
```

Properties
- Total magnetization: 0.00 μB/cell

---

Record 3
Here is a relaxed Sc2NbSbH crystal from Alexandria via LeMat-Bulk. Energies are from PBE-GGA.

POSCAR file:
```
Sc2NbSbH
1.0
4.559 0.000 0.000
0.000 4.559 0.000
0.000 0.000 4.018
Sc Sb Nb H
2 1 1 1
Direct
0.000 0.500 0.000
0.500 0.000 0.000
0.500 0.500 0.500
0.000 0.000 0.500
0.000 0.000 0.000
```

Properties
- Total magnetization: 0.00 μB/cell

---

Record 4
Here is a relaxed NbSiSbH crystal from Alexandria via LeMat-Bulk. Energies are from PBE-GGA.

POSCAR file:
```
NbSiSbH
1.0
-3.246 0.576 0.370
1.059 -1.164 -2.936
0.173 -5.709 3.293
Nb Si Sb H
1 1 1 1
Direct
0.999 0.955 0.032
0.455 0.769 0.317
0.136 0.460 0.672
0.642 0.286 0.004
```

Properties
- Total magnetization: 0.00 μB/cell
- Energy relative to the lowest polymorph listed for this composition: 147.3 meV/atom

---

Record 5
Here is a relaxed NbSiSbH crystal from Alexandria via LeMat-Bulk. Energies are from PBE-GGA.

POSCAR file:
```
NbSiSbH
1.0
3.552 -0.016 -0.003
0.044 3.669 -0.002
1.759 1.664 4.458
Nb Si Sb H
1 1 1 1
Direct
0.492 0.874 0.033
0.166 0.603 0.699
0.823 0.234 0.376
0.074 0.106 0.868
```

Properties
- Total magnetization: 0.00 μB/cell
- Energy relative to the lowest polymorph listed for this composition: 126.8 meV/atom

---

Record 6
Here is a relaxed NbSiSbH crystal from Alexandria via LeMat-Bulk. Energies are from PBE-GGA.

POSCAR file:
```
NbSiSbH
1.0
-6.733 2.216 -4.990
-0.411 -3.637 -1.060
-1.998 -0.972 4.112
Nb Si Sb H
2 2 2 2
Direct
0.219 0.000 0.707
0.219 0.500 0.207
0.421 0.000 0.271
0.421 0.500 0.771
0.943 0.000 0.950
0.943 0.500 0.450
0.599 0.000 0.348
0.599 0.500 0.848
```

Properties
- Total magnetization: 0.00 μB/cell
- Energy relative to the lowest polymorph listed for this composition: 68.4 meV/atom

---

Number 1: final energy -4.53 eV/atom, DOS at the Fermi energy 0.91 states/eV/atom. Number 2: final energy -6.34 eV/atom, DOS at the Fermi energy 0.54 states/eV/atom. Number 3: final energy -6.51 eV/atom, DOS at the Fermi energy 0.88 states/eV/atom. Number 4: final energy -5.68 eV/atom, DOS at the Fermi energy 0.44 states/eV/atom. Number 5: final energy -5.70 eV/atom, DOS at the Fermi energy 0.33 states/eV/atom. Number 6: final energy -5.76 eV/atom, DOS at the Fermi energy 0.39 states/eV/atom.